DFT (GGA-PBE) results for TiNiOs after structural relaxation.

Values from the calculation:
**Total moment**: 0.0 μB/cell
**Energy relative to the lowest polymorph listed for this composition**: 0.115 eV per atom
**Electronic total energy**: -8.622 eV/atom

Structure (CIF):
```
data_TiNiOs
_chemical_formula_sum 'Ti4 Ni4 Os4'
_cell_length_a 7.890
_cell_length_b 4.030
_cell_length_c 5.238
_cell_angle_alpha 90.00
_cell_angle_beta 100.18
_cell_angle_gamma 90.00
_symmetry_space_group_name_H-M 'P 1'
_symmetry_Int_Tables_number 1
_symmetry_space_group_name_Hall 'P 1'
loop_
_atom_site_label
_atom_site_type_symbol
_atom_site_fract_x
_atom_site_fract_y
_atom_site_fract_z
_atom_site_occupancy
Ti1 Ti 0.000 0.000 0.000 1
Ti2 Ti 0.202 0.500 0.371 1
Ti3 Ti 0.500 0.500 0.000 1
Ti4 Ti 0.702 0.000 0.371 1
Ni1 Ni 0.023 0.000 0.511 1
Ni2 Ni 0.344 0.000 0.675 1
Ni3 Ni 0.523 0.500 0.511 1
Ni4 Ni 0.844 0.500 0.675 1
Os1 Os 0.166 0.500 0.858 1
Os2 Os 0.356 0.000 0.189 1
Os3 Os 0.666 0.000 0.858 1
Os4 Os 0.856 0.500 0.189 1
```